No. 1
VASP calculation (PBE) on a geometry-optimized CdGeBiPb structure.

Lattice parameters (Å, degrees): 7.5601 7.5601 7.5601 90.00 90.00 90.00
Space group F-43m (No. 216)
One atom of each set of equivalent atoms:
Cd 0.0000 0.0000 0.0000 [4 per cell]
Ge 0.0000 0.0000 0.5000 [4 per cell]
Bi 0.2500 0.2500 0.2500 [4 per cell]
Pb 0.2500 0.2500 0.7500 [4 per cell]

Computed properties:
The value obtained for the formation energy is 180 meV/atom. The value obtained for the total energy is -3.1007 eV per atom.



No. 2
VASP calculation (PBE) on a geometry-optimized Ac2SmDyEr structure.

Lattice parameters (Å, degrees): 6.4112 8.9937 6.6800 90.00 90.00 90.00
Space group Pmma (No. 51)
One atom of each set of equivalent atoms:
Ac 0.2500 0.2033 0.2110 [4 per cell]
Sm 0.2500 0.5000 0.9184 [2 per cell]
Dy 0.2500 0.0000 0.6831 [2 per cell]
Er 0.0000 0.5000 0.5000 [2 per cell]

Computed properties:
The value obtained for the formation energy is 277 meV/atom. The value obtained for the total energy is -4.1431 eV per atom.



No. 3
VASP calculation (PBE) on a geometry-optimized Rb2HgCl structure.

Lattice parameters (Å, degrees): 4.6482 4.6482 28.1950 90.00 90.00 120.00
Space group R-3m (No. 166, hexagonal axes)
One atom of each set of equivalent atoms:
Rb 0.0000 0.0000 0.2372 [6 per cell]
Hg 0.0000 0.0000 0.0000 [3 per cell]
Cl 0.0000 0.0000 0.5000 [3 per cell]

Computed properties:
The value obtained for the total energy is -2.0023 eV per atom. Its energy above the most stable polymorph in this dataset is 8 meV per atom. The value obtained for the uncorrected formation energy is -3.926 eV/f.u.



No. 4
VASP calculation (PBE) on a geometry-optimized Na2InBiF6 structure.

Lattice parameters (Å, degrees): 6.1853 6.1853 15.7657 90.00 90.00 120.00
Space group R3 (No. 146, hexagonal axes)
One atom of each set of equivalent atoms:
Na 0.0000 0.0000 0.0000 [3 per cell]
Na 0.0000 0.0000 0.4884 [3 per cell]
In 0.0000 0.0000 0.2171 [3 per cell]
Bi 0.0000 0.0000 0.7035 [3 per cell]
F 0.0110 0.3170 0.0915 [9 per cell]
F 0.0462 0.6079 0.2719 [9 per cell]

Computed properties:
The value obtained for the total energy is -4.4607 eV per atom. The value obtained for the uncorrected formation energy is -24.121 eV/f.u.



What is the formula in the third record?
Rb2HgCl